[1]
YThZnFe PBE-GGA optimized geometry; spin magnetization = 0.83 μB per formula unit; VASP energy = -23.74 eV/cell; energy of formation = -30 meV per atom
1.0
-2.6672 -2.0541 -3.6937
-0.6365 -4.9542 -0.1663
-4.4890 -1.9762 0.9594
Y Zn Fe Th
1 1 1 1
Direct
0.2500 0.2500 0.2500
0.0000 0.0000 0.0000
0.5000 0.5000 0.5000
0.7500 0.7500 0.7500



[2]
Tl2CrAu PBE-GGA optimized geometry; relative energy among the computed polymorphs = 54 kJ/mol of formula units; spin magnetization = 4.39 μB per formula unit; VASP energy = -16.08 eV/cell; energy of formation = 388 meV per atom
1.0
-0.8697 0.6518 3.4775
3.1563 -1.4768 1.0662
2.9448 6.0118 -0.3904
Au Cr Tl
1 1 2
Direct
0.5000 0.5000 0.2500
0.5000 0.5000 0.7500
0.0000 0.0000 0.9996
0.0000 0.0000 0.5004